*A*
H2AuSN | PBE | optimized geometry

CIF file:
```
data_H2AuSN
_chemical_formula_sum 'H4 Au2 S2 N2'
_space_group_name_H-M_alt 'C 1 m 1'
_space_group_IT_number 8
_space_group_name_Hall 'C -2y'
_cell_length_a 5.457
_cell_length_b 5.944
_cell_length_c 5.237
_cell_angle_alpha 90.00
_cell_angle_beta 97.27
_cell_angle_gamma 90.00
loop_
_atom_site_label
_atom_site_type_symbol
_atom_site_fract_x
_atom_site_fract_y
_atom_site_fract_z
H1 H 0.000 0.143 0.000
Au1 Au 0.283 0.500 0.545
S1 S 0.136 0.500 0.120
N1 N 0.396 0.500 0.946
```

*B*
H2AuSN | PBE | optimized geometry

CIF file:
```
data_H2AuSN
_chemical_formula_sum 'H2 Au1 S1 N1'
_space_group_name_H-M_alt 'P 1'
_space_group_IT_number 1
_space_group_name_Hall 'P 1'
_cell_length_a 3.506
_cell_length_b 4.244
_cell_length_c 5.249
_cell_angle_alpha 76.09
_cell_angle_beta 89.60
_cell_angle_gamma 71.03
loop_
_atom_site_label
_atom_site_type_symbol
_atom_site_fract_x
_atom_site_fract_y
_atom_site_fract_z
H1 H 0.000 0.000 0.000
H2 H 0.192 0.323 0.385
Au1 Au 0.499 0.001 0.006
S1 S 0.584 0.798 0.627
N1 N 0.454 0.133 0.366
```

Question: which arrangement is favored energetically? Ranking from most to least stable: *A*, *B*.

*A*
H2AuSN | PBE | optimized geometry

CIF file:
```
data_H2AuSN
_chemical_formula_sum 'H2 Au1 S1 N1'
_space_group_name_H-M_alt 'P 1'
_space_group_IT_number 1
_space_group_name_Hall 'P 1'
_cell_length_a 4.064
_cell_length_b 4.716
_cell_length_c 4.762
_cell_angle_alpha 67.10
_cell_angle_beta 80.84
_cell_angle_gamma 70.68
loop_
_atom_site_label
_atom_site_type_symbol
_atom_site_fract_x
_atom_site_fract_y
_atom_site_fract_z
H1 H 0.000 0.000 0.000
H2 H 0.226 0.126 0.175
Au1 Au 0.846 0.637 0.745
S1 S 0.670 0.147 0.399
N1 N 0.985 0.171 0.091
```

*B*
H2AuSN | PBE | optimized geometry

CIF file:
```
data_H2AuSN
_chemical_formula_sum 'H2 Au1 S1 N1'
_space_group_name_H-M_alt 'P 1'
_space_group_IT_number 1
_space_group_name_Hall 'P 1'
_cell_length_a 3.754
_cell_length_b 4.371
_cell_length_c 5.229
_cell_angle_alpha 71.34
_cell_angle_beta 88.59
_cell_angle_gamma 70.32
loop_
_atom_site_label
_atom_site_type_symbol
_atom_site_fract_x
_atom_site_fract_y
_atom_site_fract_z
H1 H 0.000 0.000 0.000
H2 H 0.339 0.327 0.325
Au1 Au 0.970 0.577 0.692
S1 S 0.828 0.752 0.064
N1 N 0.057 0.439 0.348
```

*C*
H2AuSN | PBE | optimized geometry

CIF file:
```
data_H2AuSN
_chemical_formula_sum 'H2 Au1 S1 N1'
_space_group_name_H-M_alt 'P 1'
_space_group_IT_number 1
_space_group_name_Hall 'P 1'
_cell_length_a 2.790
_cell_length_b 4.236
_cell_length_c 6.289
_cell_angle_alpha 73.15
_cell_angle_beta 86.56
_cell_angle_gamma 85.43
loop_
_atom_site_label
_atom_site_type_symbol
_atom_site_fract_x
_atom_site_fract_y
_atom_site_fract_z
H1 H 0.000 0.000 0.000
H2 H 0.359 0.670 0.127
Au1 Au 0.539 0.463 0.652
S1 S 0.002 0.925 0.372
N1 N 0.030 0.797 0.140
```

Question: which arrangement is favored energetically? Ranking from most to least stable: *A*, *B*, *C*.

*A*
HAuS2N | PBE | optimized geometry

CIF file:
```
data_HAuS2N
_chemical_formula_sum 'H1 Au1 S2 N1'
_space_group_name_H-M_alt 'P 4/m m m'
_space_group_IT_number 123
_space_group_name_Hall '-P 4 2'
_cell_length_a 5.030
_cell_length_b 5.030
_cell_length_c 2.611
_cell_angle_alpha 90.00
_cell_angle_beta 90.00
_cell_angle_gamma 90.00
loop_
_atom_site_label
_atom_site_type_symbol
_atom_site_fract_x
_atom_site_fract_y
_atom_site_fract_z
H1 H 0.000 0.000 0.000
Au1 Au 0.500 0.500 0.500
S1 S 0.000 0.500 0.000
N1 N 0.000 0.000 0.500
```

*B*
HAuS2N | PBE | optimized geometry

CIF file:
```
data_HAuS2N
_chemical_formula_sum 'H1 Au1 S2 N1'
_space_group_name_H-M_alt 'P 4/m m m'
_space_group_IT_number 123
_space_group_name_Hall '-P 4 2'
_cell_length_a 5.167
_cell_length_b 5.167
_cell_length_c 3.764
_cell_angle_alpha 90.00
_cell_angle_beta 90.00
_cell_angle_gamma 90.00
loop_
_atom_site_label
_atom_site_type_symbol
_atom_site_fract_x
_atom_site_fract_y
_atom_site_fract_z
H1 H 0.000 0.000 0.000
Au1 Au 0.500 0.500 0.500
S1 S 0.000 0.500 0.500
N1 N 0.500 0.500 0.000
```

Question: which arrangement is favored energetically? Ranking from most to least stable: *A*, *B*.

*A*
HAuSeN2 | PBE | optimized geometry

CIF file:
```
data_HAuSeN2
_chemical_formula_sum 'H1 Au1 Se1 N2'
_space_group_name_H-M_alt 'P 4/m m m'
_space_group_IT_number 123
_space_group_name_Hall '-P 4 2'
_cell_length_a 3.958
_cell_length_b 3.958
_cell_length_c 5.902
_cell_angle_alpha 90.00
_cell_angle_beta 90.00
_cell_angle_gamma 90.00
loop_
_atom_site_label
_atom_site_type_symbol
_atom_site_fract_x
_atom_site_fract_y
_atom_site_fract_z
H1 H 0.000 0.000 0.000
Au1 Au 0.500 0.500 0.500
Se1 Se 0.500 0.500 0.000
N1 N 0.000 0.500 0.500
```

*B*
HAuSeN2 | PBE | optimized geometry

CIF file:
```
data_HAuSeN2
_chemical_formula_sum 'H1 Au1 Se1 N2'
_space_group_name_H-M_alt 'P 4/m m m'
_space_group_IT_number 123
_space_group_name_Hall '-P 4 2'
_cell_length_a 4.074
_cell_length_b 4.074
_cell_length_c 3.319
_cell_angle_alpha 90.00
_cell_angle_beta 90.00
_cell_angle_gamma 90.00
loop_
_atom_site_label
_atom_site_type_symbol
_atom_site_fract_x
_atom_site_fract_y
_atom_site_fract_z
H1 H 0.000 0.000 0.000
Au1 Au 0.500 0.500 0.500
Se1 Se 0.000 0.000 0.500
N1 N 0.000 0.500 0.000
```

Question: which arrangement is favored energetically? Ranking from most to least stable: *B*, *A*.

*A*
NaH3Au | PBE | optimized geometry

CIF file:
```
data_NaH3Au
_chemical_formula_sum 'Na4 H12 Au4'
_space_group_name_H-M_alt 'C m c m'
_space_group_IT_number 63
_space_group_name_Hall '-C 2c 2'
_cell_length_a 3.876
_cell_length_b 11.618
_cell_length_c 5.514
_cell_angle_alpha 90.00
_cell_angle_beta 90.00
_cell_angle_gamma 90.00
loop_
_atom_site_label
_atom_site_type_symbol
_atom_site_fract_x
_atom_site_fract_y
_atom_site_fract_z
Na1 Na 0.000 0.125 0.250
H1 H 0.000 0.500 0.000
H2 H 0.145 0.197 0.750
Au1 Au 0.000 0.397 0.250
```

*B*
NaH3Au | PBE | optimized geometry

CIF file:
```
data_NaH3Au
_chemical_formula_sum 'Na4 H12 Au4'
_space_group_name_H-M_alt 'C 1 2/m 1'
_space_group_IT_number 12
_space_group_name_Hall '-C 2y'
_cell_length_a 11.804
_cell_length_b 3.460
_cell_length_c 6.431
_cell_angle_alpha 90.00
_cell_angle_beta 108.08
_cell_angle_gamma 90.00
loop_
_atom_site_label
_atom_site_type_symbol
_atom_site_fract_x
_atom_site_fract_y
_atom_site_fract_z
Na1 Na 0.100 0.000 0.348
H1 H 0.021 0.500 0.759
H2 H 0.178 0.000 0.045
H3 H 0.192 0.500 0.574
Au1 Au 0.170 0.500 0.826
```

Question: which arrangement is favored energetically? Ranking from most to least stable: *B*, *A*.

*A*
NaH3Au | PBE | optimized geometry

CIF file:
```
data_NaH3Au
_chemical_formula_sum 'Na1 H3 Au1'
_space_group_name_H-M_alt 'P 4 m m'
_space_group_IT_number 99
_space_group_name_Hall 'P 4 -2'
_cell_length_a 3.581
_cell_length_b 3.581
_cell_length_c 5.462
_cell_angle_alpha 90.00
_cell_angle_beta 90.00
_cell_angle_gamma 90.00
loop_
_atom_site_label
_atom_site_type_symbol
_atom_site_fract_x
_atom_site_fract_y
_atom_site_fract_z
Na1 Na 0.000 0.000 0.000
H1 H 0.000 0.000 0.626
H2 H 0.000 0.500 0.304
Au1 Au 0.500 0.500 0.331
```

*B*
NaH3Au | PBE | optimized geometry

CIF file:
```
data_NaH3Au
_chemical_formula_sum 'Na4 H12 Au4'
_space_group_name_H-M_alt 'I -4 m 2'
_space_group_IT_number 119
_space_group_name_Hall 'I -4 -2'
_cell_length_a 3.783
_cell_length_b 3.783
_cell_length_c 16.940
_cell_angle_alpha 90.00
_cell_angle_beta 90.00
_cell_angle_gamma 90.00
loop_
_atom_site_label
_atom_site_type_symbol
_atom_site_fract_x
_atom_site_fract_y
_atom_site_fract_z
Na1 Na 0.000 0.000 0.105
H1 H 0.000 0.153 0.322
H2 H 0.000 0.500 0.502
Au1 Au 0.000 0.000 0.500
Au2 Au 0.000 0.500 0.250
```

*C*
NaH3Au | PBE | optimized geometry

CIF file:
```
data_NaH3Au
_chemical_formula_sum 'Na1 H3 Au1'
_space_group_name_H-M_alt 'P m -3 m'
_space_group_IT_number 221
_space_group_name_Hall '-P 4 2 3'
_cell_length_a 3.803
_cell_length_b 3.803
_cell_length_c 3.803
_cell_angle_alpha 90.00
_cell_angle_beta 90.00
_cell_angle_gamma 90.00
loop_
_atom_site_label
_atom_site_type_symbol
_atom_site_fract_x
_atom_site_fract_y
_atom_site_fract_z
Na1 Na 0.000 0.000 0.000
H1 H 0.000 0.000 0.500
Au1 Au 0.500 0.500 0.500
```

Question: which arrangement is favored energetically? Ranking from most to least stable: *B*, *A*, *C*.